No. 1
## Zn13Au2 (GGA-PBE)

Data for Zn13Au2 after structural relaxation.

Cell: 7.215 7.215 7.545 Å, 61.44 61.44 60.00°
Positions (direct):
Zn 0.143 0.518 0.822
Zn 0.500 0.500 0.500
Zn 0.899 0.257 0.586
Au 0.268 0.268 0.195
Zn 0.743 0.101 0.414
Zn 0.743 0.743 0.414
Zn 0.518 0.518 0.822
Zn 0.257 0.899 0.586
Zn 0.101 0.743 0.414
Zn 0.857 0.482 0.178
Zn 0.257 0.257 0.586
Zn 0.482 0.857 0.178
Zn 0.482 0.482 0.178
Zn 0.518 0.143 0.822
Au 0.732 0.732 0.805

Values from the calculation:
Electronic total energy = -21.98 eV/cell
Space group = R-3m (166)
ΔH_f (0 K) = 0.076 eV/atom
DOS at the Fermi energy = 5.1 states/eV per cell

---

No. 2
## TlIr3S (GGA-PBE)

Data for TlIr3S after structural relaxation.

Cell: 5.007 5.007 5.007 Å, 90.00 90.00 90.00°
Positions (direct):
Ir 0.500 0.000 0.000
S 0.500 0.500 0.500
Ir 0.000 0.500 0.000
Tl 0.000 0.000 0.000
Ir 0.000 0.000 0.500

Values from the calculation:
Electronic total energy = -19.53 eV/cell
Space group = Pm-3m (221)
DOS at the Fermi energy = 8.8 states/eV per cell

---

No. 3
## Si2HgI (GGA-PBE)

Data for Si2HgI after structural relaxation.

Cell: 5.310 6.404 8.304 Å, 89.72 89.90 75.26°
Positions (direct):
Si 0.189 0.727 0.810
Hg 0.725 0.261 0.613
Hg 0.189 0.810 0.112
I 0.178 0.333 0.351
Si 0.190 0.729 0.415
I 0.177 0.331 0.875
Si 0.531 0.666 0.613
Si 0.859 0.855 0.613

Values from the calculation:
Electronic total energy = -24.92 eV/cell
Space group = P1 (1)

---

No. 4
## AgPt2W (GGA-PBE)

Data for AgPt2W after structural relaxation.

Cell: 2.839 2.839 8.021 Å, 90.00 90.00 90.00°
Positions (direct):
Ag 0.500 0.500 0.750
Pt 0.000 0.000 0.482
Pt 0.000 0.000 0.018
W 0.500 0.500 0.250

Values from the calculation:
Electronic total energy = -28.71 eV/cell
Space group = P4/mmm (123)
ΔH_f (0 K) = -0.206 eV/atom
DOS at the Fermi energy = 3.0 states/eV per cell

---

No. 5
## LiAg3Ru (GGA-PBE)

Data for LiAg3Ru after structural relaxation.

Cell: 4.377 4.377 4.377 Å, 90.00 90.00 90.00°
Positions (direct):
Ru 0.500 0.500 0.500
Li 0.000 0.000 0.000
Ag 0.500 0.000 0.000
Ag 0.000 0.000 0.500
Ag 0.000 0.500 0.000

Values from the calculation:
Electronic total energy = -15.74 eV/cell
Space group = Pm-3m (221)
ΔH_f (0 K) = 0.800 eV/atom
DOS at the Fermi energy = 4.0 states/eV per cell

---

No. 6
## CsCd2I (GGA-PBE)

Data for CsCd2I after structural relaxation.

Cell: 6.370 6.370 6.370 Å, 60.00 60.00 60.00°
Positions (direct):
Cd 0.750 0.750 0.750
Cd 0.250 0.250 0.250
I 0.000 0.000 0.000
Cs 0.500 0.500 0.500

Values from the calculation:
Electronic total energy = -5.59 eV/cell
Space group = Fm-3m (225)
DOS at the Fermi energy = 0.0 states/eV per cell